Record 1
PmSi3Ni10 after structural relaxation, computed with PBE-GGA.

a b c (Å): 8.0538 8.0538 8.0538
angles (deg): 60.00 60.00 60.00
Last column: nearest neighbours and their distance in Å.
Sites, in units of the cell vectors:
Ni  0.0000  0.3517  0.0000  2 Si 2.24, 1 Ni 2.39
Ni  0.3517  0.0000  0.6483  2 Si 2.24, 1 Ni 2.39
Ni  0.6130  0.6130  0.1609  3 Si 2.30, 3 Ni 2.58
Ni  0.3517  0.0000  0.0000  2 Si 2.24, 1 Ni 2.39
Ni  0.6483  0.0000  0.0000  2 Si 2.24, 1 Ni 2.39
Ni  0.6130  0.6130  0.6130  3 Si 2.30, 3 Ni 2.58
Ni  0.3870  0.8391  0.3870  3 Si 2.30, 3 Ni 2.58
Ni  0.6483  0.0000  0.3517  2 Si 2.24, 1 Ni 2.39
Ni  0.3870  0.3870  0.8391  3 Si 2.30, 3 Ni 2.58
Ni  0.6130  0.1609  0.6130  3 Si 2.30, 3 Ni 2.58
Ni  0.0000  0.6483  0.0000  2 Si 2.24, 1 Ni 2.39
Ni  0.3517  0.6483  0.0000  2 Si 2.24, 1 Ni 2.39
Ni  0.0000  0.6483  0.3517  2 Si 2.24, 1 Ni 2.39
Ni  0.0000  0.0000  0.3517  2 Si 2.24, 1 Ni 2.39
Ni  0.0000  0.0000  0.6483  2 Si 2.24, 1 Ni 2.39
Ni  0.1609  0.6130  0.6130  3 Si 2.30, 3 Ni 2.58
Ni  0.6483  0.3517  0.0000  2 Si 2.24, 1 Ni 2.39
Ni  0.0000  0.3517  0.6483  2 Si 2.24, 1 Ni 2.39
Ni  0.8391  0.3870  0.3870  3 Si 2.30, 3 Ni 2.58
Ni  0.3870  0.3870  0.3870  3 Si 2.30, 3 Ni 2.58
Si  0.7368  0.2632  0.2632  8 Ni 2.24-2.30
Si  0.2632  0.7368  0.2632  8 Ni 2.24-2.30
Si  0.2632  0.7368  0.7368  8 Ni 2.24-2.30
Si  0.7368  0.7368  0.2632  8 Ni 2.24-2.30
Si  0.7368  0.2632  0.7368  8 Ni 2.24-2.30
Si  0.2632  0.2632  0.7368  8 Ni 2.24-2.30
Pm  0.7500  0.7500  0.7500  4 Ni 2.70
Pm  0.2500  0.2500  0.2500  4 Ni 2.70

Output
VASP energy, eV per cell: -167.3
Energy relative to the elements, uncorrected, eV/atom: -0.343



Record 2
PmSi2Ni6 after structural relaxation, computed with PBE-GGA.

a b c (Å): 7.3861 7.3861 7.3861
angles (deg): 60.00 60.00 60.00
Last column: nearest neighbours and their distance in Å.
Sites, in units of the cell vectors:
Ni  0.2388  0.2388  0.7612  2 Si 2.20
Ni  0.0112  0.4888  0.4888  2 Si 2.20
Ni  0.0112  0.4888  0.0112  2 Si 2.20
Ni  0.0112  0.0112  0.4888  2 Si 2.20
Ni  0.4888  0.0112  0.0112  2 Si 2.20
Ni  0.2388  0.7612  0.2388  2 Si 2.20
Ni  0.7612  0.7612  0.2388  2 Si 2.20
Ni  0.4888  0.0112  0.4888  2 Si 2.20
Ni  0.2388  0.7612  0.7612  2 Si 2.20
Ni  0.4888  0.4888  0.0112  2 Si 2.20
Ni  0.7612  0.2388  0.7612  2 Si 2.20
Ni  0.7612  0.2388  0.2388  2 Si 2.20
Pm  0.7500  0.7500  0.7500  6 Ni 2.73
Pm  0.5000  0.5000  0.5000  6 Ni 2.73
Si  0.1250  0.1250  0.6250  6 Ni 2.20
Si  0.6250  0.1250  0.1250  6 Ni 2.20
Si  0.1250  0.6250  0.1250  6 Ni 2.20
Si  0.1250  0.1250  0.1250  6 Ni 2.20

Output
VASP energy, eV per cell: -100.6
Energy relative to the elements, uncorrected, eV/atom: 0.000



Record 3
PmSiNi2 after structural relaxation, computed with PBE-GGA.

a b c (Å): 3.9960 5.3136 6.3690
angles (deg): 90.00 90.00 90.00
Last column: nearest neighbours and their distance in Å.
Sites, in units of the cell vectors:
Pm  0.5000  0.8680  0.0000  8 Ni 2.92-3.06
Pm  0.0000  0.1320  0.5000  8 Ni 2.92-3.06
Ni  0.0000  0.6293  0.6966  3 Si 2.35-2.36, 3 Ni 2.50-2.52
Ni  0.0000  0.6293  0.3034  3 Si 2.35-2.36, 3 Ni 2.50-2.52
Ni  0.5000  0.3707  0.8034  3 Si 2.35-2.36, 3 Ni 2.50-2.52
Ni  0.5000  0.3707  0.1966  3 Si 2.35-2.36, 3 Ni 2.50-2.52
Si  0.0000  0.3778  0.0000  6 Ni 2.35-2.36
Si  0.5000  0.6222  0.5000  6 Ni 2.35-2.36

Output
Energy above the lowest structure with this stoichiometry, eV/f.u.: 0.08
VASP energy, eV per cell: -48.5
Energy relative to the elements, uncorrected, eV/atom: -0.634



Record 4
PmSi4Ni2 after structural relaxation, computed with PBE-GGA.

a b c (Å): 4.0191 6.4553 16.3698
angles (deg): 90.00 90.00 90.00
Last column: nearest neighbours and their distance in Å.
Sites, in units of the cell vectors:
Ni  0.7500  0.3351  0.4586  7 Si 2.39-2.51
Ni  0.7500  0.1649  0.9586  7 Si 2.39-2.51
Ni  0.7500  0.4485  0.7268  7 Si 2.27-2.51
Ni  0.2500  0.6649  0.5414  7 Si 2.39-2.51
Ni  0.2500  0.5515  0.2732  7 Si 2.27-2.51
Ni  0.2500  0.8351  0.0414  7 Si 2.39-2.51
Ni  0.7500  0.0515  0.2268  7 Si 2.27-2.51
Ni  0.2500  0.9485  0.7732  7 Si 2.27-2.51
Si  0.2500  0.2235  0.0357  3 Ni 2.40-2.51, 3 Si 2.51-2.63
Si  0.7500  0.1600  0.8129  4 Ni 2.34-2.51, 1 Si 2.54
Si  0.7500  0.7690  0.7947  3 Ni 2.35, 1 Si 2.54
Si  0.7500  0.7310  0.2947  3 Ni 2.35, 1 Si 2.54
Si  0.2500  0.6600  0.6871  4 Ni 2.34-2.51, 1 Si 2.54
Si  0.2500  0.8400  0.1871  4 Ni 2.34-2.51, 1 Si 2.54
Si  0.2500  0.4985  0.4102  4 Ni 2.27-2.40, 1 Si 2.51
Si  0.2500  0.2765  0.5357  3 Ni 2.40-2.51, 3 Si 2.51-2.63
Si  0.7500  0.3400  0.3129  4 Ni 2.34-2.51, 1 Si 2.54
Si  0.7500  0.7235  0.4643  3 Ni 2.40-2.51, 3 Si 2.51-2.63
Si  0.2500  0.2310  0.2053  3 Ni 2.35, 1 Si 2.54
Si  0.7500  0.5015  0.5898  4 Ni 2.27-2.40, 1 Si 2.51
Si  0.2500  0.0015  0.9102  4 Ni 2.27-2.40, 1 Si 2.51
Si  0.2500  0.2690  0.7053  3 Ni 2.35, 1 Si 2.54
Si  0.7500  0.7765  0.9643  3 Ni 2.40-2.51, 3 Si 2.51-2.63
Si  0.7500  0.9985  0.0898  4 Ni 2.27-2.40, 1 Si 2.51
Pm  0.2500  0.0014  0.3870  10 Si 2.98-3.32, 5 Ni 3.17-3.33
Pm  0.2500  0.4986  0.8870  10 Si 2.98-3.32, 5 Ni 3.17-3.33
Pm  0.7500  0.5014  0.1130  10 Si 2.98-3.32, 5 Ni 3.17-3.33
Pm  0.7500  0.9986  0.6130  10 Si 2.98-3.32, 5 Ni 3.17-3.33

Output
Energy above the lowest structure with this stoichiometry, eV/f.u.: 0.00
VASP energy, eV per cell: -166.0
Energy relative to the elements, uncorrected, eV/atom: -0.499



Record 5
Pm3SiNi3 after structural relaxation, computed with PBE-GGA.

a b c (Å): 3.9742 5.7071 13.7209
angles (deg): 84.57 81.67 69.62
Last column: nearest neighbours and their distance in Å.
Sites, in units of the cell vectors:
Pm  0.2582  0.2562  0.2275  6 Ni 2.92-3.26, 2 Si 3.04
Pm  0.7418  0.7438  0.7725  6 Ni 2.92-3.26, 2 Si 3.04
Pm  0.6025  0.7179  0.0771  7 Ni 2.96-3.16
Pm  0.3975  0.2821  0.9229  7 Ni 2.96-3.16
Pm  0.5224  0.3402  0.6150  5 Ni 2.93-3.03, 3 Si 3.03-3.06
Pm  0.4776  0.6598  0.3850  5 Ni 2.93-3.03, 3 Si 3.03-3.06
Si  0.7596  0.0934  0.3874  4 Ni 2.29-2.46
Si  0.2404  0.9066  0.6126  4 Ni 2.29-2.46
Ni  0.1879  0.1580  0.4663  3 Si 2.29-2.35
Ni  0.9537  0.8564  0.2363  1 Si 2.46, 1 Ni 2.56
Ni  0.0463  0.1436  0.7637  1 Si 2.46, 1 Ni 2.56
Ni  0.8984  0.1276  0.0755  2 Ni 2.52-2.56
Ni  0.1016  0.8724  0.9245  2 Ni 2.52-2.56
Ni  0.8121  0.8420  0.5337  3 Si 2.29-2.35

Output
Energy above the lowest structure with this stoichiometry, eV/f.u.: 0.00
VASP energy, eV per cell: -80.9
Energy relative to the elements, uncorrected, eV/atom: -0.493



Record 6
PmSi4Ni6 after structural relaxation, computed with PBE-GGA.

a b c (Å): 3.7406 6.6425 6.6425
angles (deg): 120.00 90.00 90.00
Last column: nearest neighbours and their distance in Å.
Sites, in units of the cell vectors:
Si  0.5000  0.3971  0.1986  6 Ni 2.32-2.42
Si  0.5000  0.8014  0.6029  6 Ni 2.32-2.42
Si  0.5000  0.8014  0.1986  6 Ni 2.32-2.42
Si  0.0000  0.3333  0.6667  9 Ni 2.32-2.38
Pm  0.0000  0.0000  0.0000  6 Si 2.95, 6 Ni 3.01
Ni  0.5000  0.2054  0.7946  4 Si 2.32-2.38, 2 Ni 2.55
Ni  0.5000  0.2054  0.4108  4 Si 2.32-2.38, 2 Ni 2.55
Ni  0.0000  0.9294  0.4647  5 Si 2.32-2.42
Ni  0.0000  0.5353  0.4647  5 Si 2.32-2.42
Ni  0.0000  0.5353  0.0706  5 Si 2.32-2.42
Ni  0.5000  0.5892  0.7946  4 Si 2.32-2.38, 2 Ni 2.55

Output
VASP energy, eV per cell: -68.5
Energy relative to the elements, uncorrected, eV/atom: -0.669



Record 7
PmSi3Ni2 after structural relaxation, computed with PBE-GGA.

a b c (Å): 5.0038 6.1595 6.1595
angles (deg): 106.06 90.00 90.00
Last column: nearest neighbours and their distance in Å.
Sites, in units of the cell vectors:
Si  0.2500  0.5239  0.9061  4 Ni 2.31-2.45, 1 Si 2.44
Si  0.7500  0.4761  0.0939  4 Ni 2.31-2.45, 1 Si 2.44
Si  0.7500  0.0939  0.4761  4 Ni 2.31-2.45, 1 Si 2.44
Si  0.2500  0.9242  0.9242  4 Ni 2.36, 2 Si 2.44
Si  0.7500  0.0758  0.0758  4 Ni 2.36, 2 Si 2.44
Si  0.2500  0.9061  0.5239  4 Ni 2.31-2.45, 1 Si 2.44
Ni  0.5000  0.1958  0.8042  6 Si 2.31-2.45, 2 Ni 2.50
Ni  0.0000  0.1958  0.8042  6 Si 2.31-2.45, 2 Ni 2.50
Ni  0.0000  0.8042  0.1958  6 Si 2.31-2.45, 2 Ni 2.50
Ni  0.5000  0.8042  0.1958  6 Si 2.31-2.45, 2 Ni 2.50
Pm  0.2500  0.3339  0.3339  11 Si 3.03-3.39, 4 Ni 3.38
Pm  0.7500  0.6661  0.6661  11 Si 3.03-3.39, 4 Ni 3.38

Output
Energy above the lowest structure with this stoichiometry, eV/f.u.: 0.58
VASP energy, eV per cell: -72.0
Energy relative to the elements, uncorrected, eV/atom: -0.573



Record 8
PmSi2Ni3 after structural relaxation, computed with PBE-GGA.

a b c (Å): 3.8261 7.9581 9.3850
angles (deg): 107.01 90.00 103.91
Last column: nearest neighbours and their distance in Å.
Sites, in units of the cell vectors:
Pm  0.8455  0.6910  0.3006  6 Si 2.96-3.01, 10 Ni 3.06-3.29
Pm  0.1545  0.3090  0.6994  6 Si 2.96-3.01, 10 Ni 3.06-3.29
Pm  0.0000  0.0000  0.0000  6 Si 2.97-3.02, 6 Ni 3.00-3.08
Ni  0.2164  0.4329  0.3934  4 Si 2.27-2.41, 1 Ni 2.48
Ni  0.7836  0.5671  0.6066  4 Si 2.27-2.41, 1 Ni 2.48
Ni  0.3228  0.6456  0.0301  4 Si 2.35-2.52, 1 Ni 2.53
Ni  0.9503  0.9007  0.6563  4 Si 2.32-2.40, 1 Ni 2.48
Ni  0.6772  0.3544  0.9699  4 Si 2.35-2.52, 1 Ni 2.53
Ni  0.3709  0.7419  0.7949  4 Si 2.25-2.49
Ni  0.6291  0.2581  0.2051  4 Si 2.25-2.49
Ni  0.0497  0.0993  0.3437  4 Si 2.32-2.40, 1 Ni 2.48
Ni  0.5000  0.0000  0.5000  4 Si 2.34-2.43
Si  0.2004  0.4009  0.1302  6 Ni 2.35-2.42
Si  0.4738  0.9475  0.2319  5 Ni 2.32-2.52
Si  0.7996  0.5991  0.8698  6 Ni 2.35-2.42
Si  0.3606  0.7211  0.5504  7 Ni 2.25-2.40
Si  0.5262  0.0525  0.7681  5 Ni 2.32-2.52
Si  0.6394  0.2789  0.4496  7 Ni 2.25-2.40

Output
Energy above the lowest structure with this stoichiometry, eV/f.u.: 0.00
VASP energy, eV per cell: -111.9
Energy relative to the elements, uncorrected, eV/atom: -0.727